CaSb2RuI | GGA-PBE | relaxed

Cell: 5.092 5.092 5.874 Å, 90.00 90.00 90.00°
Fractional coordinates of all 5 atoms:
I: 0.000 0.000 0.500
Sb: 0.000 0.500 0.000
Sb: 0.500 0.000 0.000
Ca: 0.500 0.500 0.500
Ru: 0.000 0.000 0.000

Output
Excess energy over the best structure of this formula in the dataset   0 meV/atom
Space group   P4/mmm (123)